1.
Material: Tb2Pr12Ho5
Method: DFT, PBE
State: relaxed

offset from the most stable computed form	10	meV/atom
VASP energy	-87.08	eV for the cell shown
theoretical density	7072	kg/m³
space group	C2/m (12)
E_form	0.13	eV per atom

The structure in extended XYZ format:
```
19
Lattice="7.633 -5.355 0.000 7.633 5.355 0.000 -0.558 0.000 8.138" Properties=species:S:1:pos:R:3 pbc="T T T"
Tb 7.633 2.892 0.000
Tb 7.633 -2.892 0.000
Pr 0.448 0.000 5.813
Pr 4.708 2.391 1.697
Pr 5.663 2.912 5.002
Pr 9.046 2.912 3.136
Pr 5.130 0.000 7.268
Pr 10.001 2.391 6.441
Pr 4.708 -2.391 1.697
Pr 9.578 0.000 0.870
Pr 5.663 -2.912 5.002
Pr 9.046 -2.912 3.136
Pr 10.001 -2.391 6.441
Pr 14.261 0.000 2.324
Ho 2.330 0.000 0.795
Ho 3.658 0.000 4.166
Ho 7.354 0.000 4.069
Ho 11.051 0.000 3.972
Ho 12.379 0.000 7.343
```



2.
Material: Tb4Pr5Ho
Method: DFT, PBE
State: relaxed

offset from the most stable computed form	121	meV/atom
VASP energy	-45.62	eV for the cell shown
theoretical density	7125	kg/m³
space group	C2/m (12)
E_form	0.14	eV per atom

The structure in extended XYZ format:
```
10
Lattice="9.199 -1.812 0.000 9.199 1.812 0.000 -1.110 0.000 10.523" Properties=species:S:1:pos:R:3 pbc="T T T"
Tb 0.548 0.000 2.776
Tb 5.196 0.000 6.166
Tb 12.091 0.000 4.357
Tb 16.739 0.000 7.747
Pr 1.788 0.000 7.667
Pr 3.390 0.000 1.055
Pr 9.199 0.000 0.000
Pr 13.898 0.000 9.468
Pr 15.499 0.000 2.856
Ho 8.644 0.000 5.261
```



3.
Material: Tb2Pr3Ho6
Method: DFT, PBE
State: relaxed

offset from the most stable computed form	0	meV/atom
VASP energy	-48.83	eV for the cell shown
theoretical density	7576	kg/m³
space group	C2/m (12)
E_form	0.20	eV per atom

The structure in extended XYZ format:
```
11
Lattice="3.094 -5.374 0.000 3.094 5.374 0.000 -2.106 0.000 11.403" Properties=species:S:1:pos:R:3 pbc="T T T"
Tb 3.094 3.590 0.000
Tb 3.094 -3.590 0.000
Pr -1.053 0.000 5.702
Pr 2.041 1.766 5.702
Pr 2.041 -1.766 5.702
Ho -0.030 1.789 8.609
Ho 1.022 0.000 2.802
Ho -0.030 -1.789 8.609
Ho 4.112 1.789 2.794
Ho 3.060 0.000 8.602
Ho 4.112 -1.789 2.794
```



4.
Material: Tb5PrHo
Method: DFT, PBE
State: relaxed

offset from the most stable computed form	892	meV/atom
VASP energy	-24.96	eV for the cell shown
theoretical density	6118	kg/m³
space group	Immm (71)
E_form	1.08	eV per atom

The structure in extended XYZ format:
```
7
Lattice="-2.897 4.346 5.933 2.897 -4.346 5.933 2.897 4.346 -5.933" Properties=species:S:1:pos:R:3 pbc="T T T"
Tb 0.000 0.000 0.000
Tb 2.897 0.000 2.940
Tb 2.897 2.782 0.000
Tb 0.000 1.563 5.933
Tb 0.000 4.346 2.993
Pr 0.000 4.346 0.000
Ho 2.897 0.000 0.000
```



5.
Material: Tb6Pr8Ho
Method: DFT, PBE
State: relaxed

offset from the most stable computed form	8	meV/atom
VASP energy	-68.06	eV for the cell shown
theoretical density	7176	kg/m³
space group	P-3 (147)
E_form	0.17	eV per atom

The structure in extended XYZ format:
```
15
Lattice="9.501 0.000 0.000 -4.750 8.228 0.000 0.000 0.000 6.648" Properties=species:S:1:pos:R:3 pbc="T T T"
Tb -1.188 3.590 1.041
Tb -1.048 7.462 1.041
Tb 2.514 2.824 5.607
Tb 2.236 5.404 1.041
Tb 5.798 0.766 5.607
Tb 5.939 4.638 5.607
Pr -1.016 2.357 4.438
Pr -2.201 7.929 4.438
Pr 1.533 2.058 2.210
Pr 0.000 5.485 4.117
Pr 4.750 2.743 2.531
Pr 3.217 6.170 4.438
Pr 6.951 0.299 2.210
Pr 5.766 5.871 2.210
Ho 0.000 0.000 0.000
```



6.
Material: TbPrHo4
Method: DFT, PBE
State: relaxed

offset from the most stable computed form	0	meV/atom
VASP energy	-27.76	eV for the cell shown
theoretical density	8314	kg/m³
space group	C2/m (12)
E_form	-0.01	eV per atom

The structure in extended XYZ format:
```
6
Lattice="8.663 -1.793 0.000 8.663 1.793 0.000 -0.735 0.000 6.168" Properties=species:S:1:pos:R:3 pbc="T T T"
Tb 0.000 0.000 0.000
Pr 8.296 0.000 3.084
Ho 2.624 0.000 2.397
Ho 5.666 0.000 0.684
Ho 10.925 0.000 5.484
Ho 13.967 0.000 3.771
```